Entry 1:
Crystalline TiTcN2 at its relaxed geometry, computed with GGA-PBEsol.

The structure in POSCAR format:
```
TiTcN2
1.0
4.499 0.000 0.000
0.000 4.499 0.000
-2.249 -2.249 4.627
N Tc Ti
4 2 2
Direct
0.372 0.875 0.250
0.878 0.375 0.250
0.125 0.122 0.750
0.625 0.628 0.750
0.250 0.750 0.500
0.000 0.000 0.000
0.750 0.250 0.500
0.500 0.500 0.000
```

- SG: I-42d (122)
- Distance to the lowest polymorph of the same formula: 0 meV per atom
- Formation energy (no corrections): -0.7624 eV per atom

=====

Entry 2:
Crystalline Ti2CdIrN at its relaxed geometry, computed with GGA-PBEsol.

The structure in POSCAR format:
```
Ti2CdIrN
1.0
4.023 0.000 0.000
0.000 4.023 0.000
0.000 0.000 4.360
N Ir Ti Cd
1 1 2 1
Direct
0.000 0.000 0.000
0.500 0.500 0.500
0.000 0.500 0.000
0.500 0.000 0.000
0.000 0.000 0.500
```

- SG: P4/mmm (123)
- Formation energy (no corrections): -0.5324 eV per atom

=====

Entry 3:
Crystalline Tl2Co at its relaxed geometry, computed with GGA-PBEsol.

The structure in POSCAR format:
```
Tl2Co
1.0
-2.649 -1.355 -0.479
0.189 -1.827 4.126
-2.146 3.597 1.690
Co Tl
1 2
Direct
0.000 0.000 0.000
0.500 0.000 0.500
0.500 0.500 0.000
```

- SG: P4/mmm (123)
- Energy relative to the elements: 0.36 eV/atom

=====

Entry 4:
Crystalline Sm5Ge4 at its relaxed geometry, computed with GGA-PBEsol.

The structure in POSCAR format:
```
Sm5Ge4
1.0
7.704 0.000 0.000
0.000 7.812 0.000
0.000 0.000 14.786
Sm Ge
20 16
Direct
0.625 0.838 0.117
0.125 0.662 0.383
0.875 0.338 0.883
0.375 0.162 0.617
0.625 0.838 0.383
0.125 0.662 0.117
0.875 0.338 0.617
0.375 0.162 0.883
0.981 0.180 0.399
0.481 0.320 0.101
0.519 0.680 0.601
0.019 0.820 0.899
0.019 0.820 0.601
0.519 0.680 0.899
0.481 0.320 0.399
0.981 0.180 0.101
0.709 0.002 0.750
0.209 0.498 0.750
0.791 0.502 0.250
0.291 0.998 0.250
0.217 0.465 0.544
0.717 0.035 0.956
0.283 0.965 0.456
0.783 0.535 0.044
0.783 0.535 0.456
0.283 0.965 0.044
0.717 0.035 0.544
0.217 0.465 0.956
0.081 0.112 0.750
0.581 0.388 0.750
0.419 0.612 0.250
0.919 0.888 0.250
0.821 0.634 0.750
0.321 0.866 0.750
0.679 0.134 0.250
0.179 0.366 0.250
```

- SG: Pnma (62)
- Energy relative to the elements: -0.87 eV/atom